CaTb4Pr5 | PBE-GGA | optimized geometry

The value obtained for the mass density is 6.56 g cm⁻³. As for the energy of formation from the pure elements: 0.02 eV per atom. As for the raw total energy: -44.189 eV/cell. For the volume, the calculation gives 34.917 Å³/atom. The value obtained for the density of states at the Fermi level is 1.430 states/eV per atom.

The space group is P4/mmm (No. 123) and the conventional cell measures 3.6656, 3.6656 and 25.9865 Å, with angles of 90.00, 90.00 and 90.00 degrees. The inequivalent atoms are Ca at (0.0000, 0.0000, 0.0000), Tb at (0.0000, 0.0000, 0.2046), Tb at (0.0000, 0.0000, 0.4019), Pr at (0.5000, 0.5000, 0.1089), Pr at (0.5000, 0.5000, 0.3042) and Pr at (0.5000, 0.5000, 0.5000).

---

Sr3Ir | PBE-GGA | optimized geometry

The value obtained for the mass density is 5.31 g cm⁻³. As for the energy of formation from the pure elements: -0.17 eV per atom. As for the raw total energy: -58.419 eV/cell. For the volume, the calculation gives 35.578 Å³/atom. The value obtained for the density of states at the Fermi level is 0.488 states/eV per atom.

The space group is Pnma (No. 62) and the conventional cell measures 8.1213, 10.0853 and 6.9501 Å, with angles of 90.00, 90.00 and 90.00 degrees. The inequivalent atoms are Sr at (0.0458, 0.2500, 0.1479), Sr at (0.1658, 0.0694, 0.6652) and Ir at (0.1231, 0.7500, 0.4568).